The following is a DFT calculation (PBE) of a relaxed SrBBr crystal.

Properties
Total energy ... -4.015 eV/atom
Space-group type ... No. 12
Calculated density ... 3.79 g/cm3
Uncorrected formation energy ... -0.671 eV per atom
V ... 26.06 Å³ per atom

extended XYZ file:
```
6
Lattice="3.1442 -2.0758 0.0000 3.1442 2.0758 0.0000 -2.4105 0.0000 11.9781" Properties=species:S:1:pos:R:3 pbc="T T T"
Sr 0.0405 0.0000 2.0560
Sr 3.8373 0.0000 9.9220
B 2.3070 0.0000 0.0027
B 1.5708 0.0000 11.9754
Br -0.1951 0.0000 7.9871
Br 4.0729 0.0000 3.9909
```

The following is a DFT calculation (PBE) of a relaxed Be2SiTe crystal.

Properties
Total energy ... -3.540 eV/atom
Space-group type ... No. 35
Calculated density ... 3.91 g/cm3
ΔE to the lowest computed polymorph ... 214 meV/atom
Uncorrected formation energy ... 0.464 eV per atom
V ... 18.45 Å³ per atom

extended XYZ file:
```
4
Lattice="1.9518 -2.6745 0.0000 1.9518 2.6745 0.0000 0.0000 0.0000 7.0679" Properties=species:S:1:pos:R:3 pbc="T T T"
Be 0.0000 0.0000 0.0000
Be 1.9518 0.0000 1.0886
Si 1.9518 0.0000 5.9032
Te 0.0000 0.0000 2.6212
```

The following is a DFT calculation (PBE) of a relaxed MnSi2SN crystal.

Properties
Total energy ... -6.672 eV/atom
Space-group type ... No. 8
Calculated density ... 4.23 g/cm3
ΔE to the lowest computed polymorph ... 280 meV/atom
Uncorrected formation energy ... -0.178 eV per atom
V ... 12.33 Å³ per atom

extended XYZ file:
```
5
Lattice="4.3702 -1.4587 0.0000 4.3702 1.4587 0.0000 -3.8341 0.0000 4.8346" Properties=species:S:1:pos:R:3 pbc="T T T"
Mn 0.0000 0.0000 0.0000
Si 3.4062 0.0000 2.9557
Si 6.3246 0.0000 0.5754
S 1.1972 0.0000 3.3416
N -1.1099 0.0000 1.8775
```

The following is a DFT calculation (PBE) of a relaxed BaSr2As2 crystal.

Properties
Total energy ... -4.035 eV/atom
Space-group type ... No. 164
Calculated density ... 4.15 g/cm3
ΔE to the lowest computed polymorph ... 0 meV/atom
V ... 37.01 Å³ per atom

extended XYZ file:
```
5
Lattice="5.1442 0.0000 0.0000 -2.5721 4.4550 0.0000 0.0000 0.0000 8.0752" Properties=species:S:1:pos:R:3 pbc="T T T"
Ba 0.0000 0.0000 0.0000
Sr 0.0000 2.9700 2.8356
Sr 2.5721 1.4850 5.2396
As 0.0000 2.9700 6.1203
As 2.5721 1.4850 1.9549
```

The following is a DFT calculation (PBE) of a relaxed CaYPb2 crystal.

Properties
Total energy ... -4.363 eV/atom
Space-group type ... No. 12
Calculated density ... 7.25 g/cm3
V ... 31.13 Å³ per atom

extended XYZ file:
```
4
Lattice="4.9207 -1.8854 0.0000 4.9207 1.8854 0.0000 -1.3729 0.0000 6.7117" Properties=species:S:1:pos:R:3 pbc="T T T"
Ca 0.0000 0.0000 0.0000
Y 4.2343 0.0000 3.3558
Pb 1.4322 0.0000 4.9597
Pb 7.0363 0.0000 1.7520
```

The following is a DFT calculation (PBE) of a relaxed NaTl5Pd4 crystal.

Properties
Total energy ... -3.523 eV/atom
Space-group type ... No. 12
Calculated density ... 10.70 g/cm3
V ... 22.82 Å³ per atom

extended XYZ file:
```
10
Lattice="7.1105 -2.4123 0.0000 7.1105 2.4123 0.0000 -0.3516 0.0000 6.6518" Properties=species:S:1:pos:R:3 pbc="T T T"
Na 0.0000 0.0000 0.0000
Tl -0.1758 0.0000 3.3259
Tl 4.4711 0.0000 3.3441
Tl 4.4430 0.0000 6.5563
Tl 9.4264 0.0000 0.0955
Tl 9.3983 0.0000 3.3077
Pd 2.1013 0.0000 4.9737
Pd 6.8776 0.0000 1.7715
Pd 6.9918 0.0000 4.8803
Pd 11.7681 0.0000 1.6782
```

The following is a DFT calculation (PBE) of a relaxed Si3Hg crystal.

Properties
Total energy ... -2.368 eV/atom
Space-group type ... No. 221
Calculated density ... 3.40 g/cm3
ΔE to the lowest computed polymorph ... 1372 meV/atom
Uncorrected formation energy ... 1.775 eV per atom
V ... 34.82 Å³ per atom

extended XYZ file:
```
4
Lattice="5.1835 0.0000 0.0000 0.0000 5.1835 0.0000 0.0000 0.0000 5.1835" Properties=species:S:1:pos:R:3 pbc="T T T"
Si 0.0000 0.0000 2.5917
Si 0.0000 2.5917 0.0000
Si 2.5917 0.0000 0.0000
Hg 0.0000 0.0000 0.0000
```